Run one
A plane-wave DFT calculation with PBE was carried out for CeZrSi2 after structural relaxation.

a = 4.062 Å, b = 3.866 Å, c = 5.592 Å
α = 90.00°, β = 111.31°, γ = 90.00°
Site moments in Bohr magnetons follow the coordinates.
Element x y z (fractional)
Si  0.161  0.500  0.861  0.00
Si  0.011  0.000  0.560  0.00
Zr  0.721  0.000  0.981  0.00
Ce  0.439  0.500  0.416  0.21

Summary:
- theoretical density (g/cm3) = 5.84
- N(E_F) (states/eV/f.u.) = 4.62


Run two
A plane-wave DFT calculation with PBE was carried out for CeZrSi2 after structural relaxation.

a = 3.942 Å, b = 3.942 Å, c = 7.071 Å
α = 73.81°, β = 73.81°, γ = 60.00°
Element x y z (fractional)
Si  0.743  0.743  0.772
Si  0.257  0.257  0.228
Zr  0.000  0.000  0.000
Ce  0.500  0.500  0.500

Summary:
- theoretical density (g/cm3) = 5.30
- N(E_F) (states/eV/f.u.) = 3.12


It comes down to run one, which is 0.120 eV/atom more stable than the next structure.


Run one
A plane-wave DFT calculation with PBE was carried out for CeSmSn after structural relaxation.

a = 4.157 Å, b = 4.157 Å, c = 9.833 Å
α = 90.00°, β = 90.00°, γ = 90.00°
Site moments in Bohr magnetons follow the coordinates.
Element x y z (fractional)
Ce  0.500  0.000  0.089  0.77
Ce  0.000  0.500  0.911  0.77
Sm  0.000  0.500  0.601  -0.01
Sm  0.500  0.000  0.399  -0.01
Sn  0.000  0.500  0.250  -0.02
Sn  0.500  0.000  0.750  -0.02

Summary:
- theoretical density (g/cm3) = 8.00
- N(E_F) (states/eV/f.u.) = 7.15


Run two
A plane-wave DFT calculation with PBE was carried out for CeSmSn after structural relaxation.

a = 3.855 Å, b = 3.855 Å, c = 12.601 Å
α = 98.80°, β = 98.80°, γ = 90.00°
Site moments in Bohr magnetons follow the coordinates.
Element x y z (fractional)
Sn  0.854  0.854  0.709  -0.01
Sn  0.146  0.146  0.291  -0.01
Ce  0.278  0.278  0.556  0.61
Ce  0.722  0.722  0.444  0.61
Sm  0.427  0.427  0.854  0.03
Sm  0.573  0.573  0.146  0.03

Summary:
- theoretical density (g/cm3) = 7.43
- N(E_F) (states/eV/f.u.) = 5.43


Run three
A plane-wave DFT calculation with PBE was carried out for CeSmSn after structural relaxation.

a = 5.524 Å, b = 5.524 Å, c = 6.550 Å
α = 90.00°, β = 90.00°, γ = 120.00°
Site moments in Bohr magnetons follow the coordinates.
Element x y z (fractional)
Sn  0.333  0.167  0.250  -0.03
Sn  0.667  0.833  0.750  -0.03
Sm  0.333  0.167  0.750  0.15
Sm  0.667  0.833  0.250  0.15
Ce  0.000  0.500  0.500  1.06
Ce  0.000  0.500  0.000  1.06

Summary:
- theoretical density (g/cm3) = 7.85
- N(E_F) (states/eV/f.u.) = 5.73


It comes down to run three, which is 0.098 eV/atom more stable than the next structure.


Run one
A plane-wave DFT calculation with PBE was carried out for CeSmSn after structural relaxation.

a = 3.317 Å, b = 5.288 Å, c = 5.288 Å
α = 120.00°, β = 90.00°, γ = 90.00°
Site moments in Bohr magnetons follow the coordinates.
Element x y z (fractional)
Sm  0.169  0.000  0.000  0.04
Sn  0.665  0.667  0.333  -0.01
Ce  0.166  0.333  0.667  0.46

Summary:
- theoretical density (g/cm3) = 8.46
- N(E_F) (states/eV/f.u.) = 6.17


Run two
A plane-wave DFT calculation with PBE was carried out for CeSmSn after structural relaxation.

a = 4.169 Å, b = 4.169 Å, c = 5.752 Å
α = 111.25°, β = 111.25°, γ = 90.00°
Site moments in Bohr magnetons follow the coordinates.
Element x y z (fractional)
Sm  0.299  0.299  0.598  0.06
Sn  0.949  0.949  0.898  -0.02
Ce  0.602  0.602  0.204  0.59

Summary:
- theoretical density (g/cm3) = 7.91
- N(E_F) (states/eV/f.u.) = 7.51


It comes down to run two, which is 0.203 eV/atom more stable than the next structure.


Run one
A plane-wave DFT calculation with PBE was carried out for CeSm2Sn after structural relaxation.

a = 5.458 Å, b = 5.458 Å, c = 5.458 Å
α = 60.00°, β = 60.00°, γ = 60.00°
Site moments in Bohr magnetons follow the coordinates.
Element x y z (fractional)
Sm  0.750  0.750  0.750  0.00
Sm  0.250  0.250  0.250  0.00
Ce  0.500  0.500  0.500  0.49
Sn  0.000  0.000  0.000  -0.02

Summary:
- theoretical density (g/cm3) = 8.08
- N(E_F) (states/eV/f.u.) = 7.75


Run two
A plane-wave DFT calculation with PBE was carried out for CeSm2Sn after structural relaxation.

a = 4.093 Å, b = 4.093 Å, c = 7.055 Å
α = 90.00°, β = 90.00°, γ = 90.00°
Site moments in Bohr magnetons follow the coordinates.
Element x y z (fractional)
Sm  0.000  0.000  0.726  0.08
Sm  0.000  0.000  0.274  0.08
Ce  0.500  0.500  0.000  0.77
Sn  0.500  0.500  0.500  -0.02

Summary:
- theoretical density (g/cm3) = 7.86
- N(E_F) (states/eV/f.u.) = 7.04


It comes down to run two, which is 0.081 eV/atom more stable than the next structure.


Run one
A plane-wave DFT calculation with PBE was carried out for CeSmTlSn after structural relaxation.

a = 4.063 Å, b = 4.063 Å, c = 6.961 Å
α = 90.00°, β = 90.00°, γ = 90.00°
Site moments in Bohr magnetons follow the coordinates.
Element x y z (fractional)
Sm  0.500  0.500  0.097  0.16
Tl  0.000  0.000  0.350  0.01
Sn  0.000  0.000  0.863  -0.01
Ce  0.500  0.500  0.618  0.92

Summary:
- theoretical density (g/cm3) = 8.87
- N(E_F) (states/eV/f.u.) = 7.35


Run two
A plane-wave DFT calculation with PBE was carried out for CeSmTlSn after structural relaxation.

a = 5.467 Å, b = 5.467 Å, c = 5.467 Å
α = 60.00°, β = 60.00°, γ = 60.00°
Site moments in Bohr magnetons follow the coordinates.
Element x y z (fractional)
Sn  0.250  0.250  0.250  0.00
Tl  0.750  0.750  0.750  0.01
Sm  0.000  0.000  0.000  0.09
Ce  0.500  0.500  0.500  0.91

Summary:
- theoretical density (g/cm3) = 8.82
- N(E_F) (states/eV/f.u.) = 8.67


It comes down to run one, which is 0.017 eV/atom more stable than the next structure.


Run one
A plane-wave DFT calculation with PBE was carried out for SrCeSm after structural relaxation.

a = 6.703 Å, b = 6.703 Å, c = 9.651 Å
α = 70.72°, β = 70.72°, γ = 33.96°
Site moments in Bohr magnetons follow the coordinates.
Element x y z (fractional)
Sr  0.435  0.435  0.042  0.00
Sr  0.638  0.638  0.275  0.00
Ce  0.466  0.466  0.653  0.36
Ce  0.117  0.117  0.652  0.45
Sm  0.748  0.748  0.854  0.02
Sm  0.856  0.856  0.445  0.01

Summary:
- theoretical density (g/cm3) = 5.52
- N(E_F) (states/eV/f.u.) = 6.74


Run two
A plane-wave DFT calculation with PBE was carried out for SrCeSm after structural relaxation.

a = 3.688 Å, b = 3.688 Å, c = 8.715 Å
α = 102.22°, β = 102.22°, γ = 90.00°
Site moments in Bohr magnetons follow the coordinates.
Element x y z (fractional)
Sr  0.001  0.001  0.002  0.02
Ce  0.679  0.679  0.358  0.85
Sm  0.320  0.320  0.639  -0.05

Summary:
- theoretical density (g/cm3) = 5.55
- N(E_F) (states/eV/f.u.) = 7.32


It comes down to run one, which is 0.007 eV/atom more stable than the next structure.


Run one
A plane-wave DFT calculation with PBE was carried out for Tb2CeSm after structural relaxation.

a = 3.566 Å, b = 3.566 Å, c = 11.694 Å
α = 81.23°, β = 81.23°, γ = 60.00°
Site moments in Bohr magnetons follow the coordinates.
Element x y z (fractional)
Sm  0.500  0.500  0.499  -0.01
Tb  0.252  0.252  0.244  -0.01
Tb  0.081  0.081  0.756  -0.01
Ce  0.666  0.666  0.001  0.45

Summary:
- theoretical density (g/cm3) = 7.97
- N(E_F) (states/eV/f.u.) = 7.81


Run two
A plane-wave DFT calculation with PBE was carried out for Tb2CeSm after structural relaxation.

a = 3.429 Å, b = 6.462 Å, c = 11.671 Å
α = 86.00°, β = 98.45°, γ = 90.00°
Site moments in Bohr magnetons follow the coordinates.
Element x y z (fractional)
Tb  0.122  0.966  0.244  0.00
Tb  0.624  0.466  0.248  -0.01
Tb  0.878  0.034  0.756  0.00
Tb  0.376  0.534  0.752  -0.01
Sm  0.250  0.257  0.500  -0.01
Sm  0.750  0.743  0.500  -0.01
Ce  0.501  0.790  0.002  0.33
Ce  0.499  0.210  0.998  0.33

Summary:
- theoretical density (g/cm3) = 7.92
- N(E_F) (states/eV/f.u.) = 7.44


It comes down to run one, which is 0.066 eV/atom more stable than the next structure.


Run one
A plane-wave DFT calculation with PBE was carried out for Tb2CeSm after structural relaxation.

a = 3.431 Å, b = 3.431 Å, c = 12.566 Å
α = 82.15°, β = 82.15°, γ = 60.00°
Site moments in Bohr magnetons follow the coordinates.
Element x y z (fractional)
Ce  0.000  0.000  0.000  0.62
Tb  0.088  0.088  0.736  -0.03
Tb  0.912  0.912  0.264  -0.03
Sm  0.500  0.500  0.500  0.01

Summary:
- theoretical density (g/cm3) = 7.98
- N(E_F) (states/eV/f.u.) = 7.74


Run two
A plane-wave DFT calculation with PBE was carried out for Tb2CeSm after structural relaxation.

a = 5.021 Å, b = 5.045 Å, c = 5.045 Å
α = 90.00°, β = 90.00°, γ = 90.00°
Site moments in Bohr magnetons follow the coordinates.
Element x y z (fractional)
Tb  0.000  0.000  0.500  0.00
Tb  0.000  0.500  0.000  0.00
Ce  0.500  0.500  0.500  0.53
Sm  0.500  0.000  0.000  -0.01

Summary:
- theoretical density (g/cm3) = 7.90
- N(E_F) (states/eV/f.u.) = 7.54


It comes down to run two, which is 0.116 eV/atom more stable than the next structure.


Run one
A plane-wave DFT calculation with PBE was carried out for Tb2CeSm after structural relaxation.

a = 5.691 Å, b = 5.691 Å, c = 5.691 Å
α = 60.00°, β = 60.00°, γ = 60.00°
Site moments in Bohr magnetons follow the coordinates.
Element x y z (fractional)
Ce  0.000  0.000  0.000  0.76
Tb  0.750  0.750  0.750  0.09
Tb  0.250  0.250  0.250  0.09
Sm  0.500  0.500  0.500  0.06

Summary:
- theoretical density (g/cm3) = 7.75
- N(E_F) (states/eV/f.u.) = 11.68


Run two
A plane-wave DFT calculation with PBE was carried out for Tb2CeSm after structural relaxation.

a = 3.551 Å, b = 3.551 Å, c = 10.071 Å
α = 90.00°, β = 90.00°, γ = 90.00°
Site moments in Bohr magnetons follow the coordinates.
Element x y z (fractional)
Ce  0.500  0.500  0.000  0.53
Sm  0.500  0.500  0.500  0.00
Tb  0.000  0.000  0.758  0.01
Tb  0.000  0.000  0.242  0.01

Summary:
- theoretical density (g/cm3) = 7.95
- N(E_F) (states/eV/f.u.) = 7.73


It comes down to run two, which is 0.125 eV/atom more stable than the next structure.


Run one
A plane-wave DFT calculation with PBE was carried out for TbCeSm2 after structural relaxation.

a = 3.455 Å, b = 3.455 Å, c = 12.624 Å
α = 82.13°, β = 82.13°, γ = 60.00°
Site moments in Bohr magnetons follow the coordinates.
Element x y z (fractional)
Sm  0.912  0.912  0.265  -0.02
Sm  0.088  0.088  0.735  -0.02
Tb  0.500  0.500  0.500  0.01
Ce  0.000  0.000  0.000  0.69

Summary:
- theoretical density (g/cm3) = 7.73
- N(E_F) (states/eV/f.u.) = 8.07


Run two
A plane-wave DFT calculation with PBE was carried out for TbCeSm2 after structural relaxation.

a = 3.562 Å, b = 3.562 Å, c = 10.165 Å
α = 90.00°, β = 90.00°, γ = 90.00°
Site moments in Bohr magnetons follow the coordinates.
Element x y z (fractional)
Tb  0.500  0.500  0.500  -0.01
Sm  0.000  0.000  0.756  0.00
Sm  0.000  0.000  0.244  0.00
Ce  0.500  0.500  0.000  0.54

Summary:
- theoretical density (g/cm3) = 7.72
- N(E_F) (states/eV/f.u.) = 7.65


Run three
A plane-wave DFT calculation with PBE was carried out for TbCeSm2 after structural relaxation.

a = 5.066 Å, b = 5.060 Å, c = 5.060 Å
α = 90.00°, β = 90.00°, γ = 90.00°
Site moments in Bohr magnetons follow the coordinates.
Element x y z (fractional)
Tb  0.500  0.500  0.500  0.00
Ce  0.500  0.000  0.000  0.58
Sm  0.000  0.500  0.000  -0.01
Sm  0.000  0.000  0.500  -0.01

Summary:
- theoretical density (g/cm3) = 7.68
- N(E_F) (states/eV/f.u.) = 7.68


It comes down to run two, which is 0.011 eV/atom more stable than the next structure.


Run one
A plane-wave DFT calculation with PBE was carried out for TbCe2Sm after structural relaxation.

a = 5.095 Å, b = 4.928 Å, c = 4.928 Å
α = 90.00°, β = 90.00°, γ = 90.00°
Site moments in Bohr magnetons follow the coordinates.
Element x y z (fractional)
Ce  0.000  0.000  0.500  0.62
Ce  0.000  0.500  0.000  0.62
Tb  0.500  0.000  0.000  0.03
Sm  0.500  0.500  0.500  0.01

Summary:
- theoretical density (g/cm3) = 7.91
- N(E_F) (states/eV/f.u.) = 10.50


Run two
A plane-wave DFT calculation with PBE was carried out for TbCe2Sm after structural relaxation.

a = 3.385 Å, b = 3.385 Å, c = 12.489 Å
α = 82.21°, β = 82.21°, γ = 60.00°
Site moments in Bohr magnetons follow the coordinates.
Element x y z (fractional)
Sm  0.500  0.500  0.500  0.01
Tb  0.000  0.000  0.000  0.01
Ce  0.085  0.085  0.744  0.62
Ce  0.915  0.915  0.256  0.62

Summary:
- theoretical density (g/cm3) = 8.00
- N(E_F) (states/eV/f.u.) = 10.73


Run three
A plane-wave DFT calculation with PBE was carried out for TbCe2Sm after structural relaxation.

a = 5.672 Å, b = 5.672 Å, c = 5.672 Å
α = 60.00°, β = 60.00°, γ = 60.00°
Site moments in Bohr magnetons follow the coordinates.
Element x y z (fractional)
Sm  0.500  0.500  0.500  0.14
Ce  0.250  0.250  0.250  0.81
Ce  0.750  0.750  0.750  0.81
Tb  0.000  0.000  0.000  0.14

Summary:
- theoretical density (g/cm3) = 7.59
- N(E_F) (states/eV/f.u.) = 17.36


It comes down to run one, which is 0.128 eV/atom more stable than the next structure.


Run one
A plane-wave DFT calculation with PBE was carried out for Tb4CeSm after structural relaxation.

a = 6.660 Å, b = 11.570 Å, c = 8.378 Å
α = 133.67°, β = 113.42°, γ = 90.00°
Site moments in Bohr magnetons follow the coordinates.
Element x y z (fractional)
Ce  0.500  0.500  0.000  0.79
Ce  0.500  0.000  0.000  0.79
Tb  0.167  0.664  0.335  0.07
Tb  0.169  0.666  0.832  0.07
Tb  0.663  0.666  0.832  0.07
Tb  0.833  0.336  0.665  0.07
Tb  0.831  0.334  0.168  0.07
Tb  0.337  0.334  0.168  0.07
Tb  0.167  0.171  0.335  0.07
Tb  0.833  0.829  0.665  0.07
Sm  0.000  0.000  0.500  0.03
Sm  0.500  0.000  0.500  0.03

Summary:
- theoretical density (g/cm3) = 7.88
- N(E_F) (states/eV/f.u.) = 14.40


Run two
A plane-wave DFT calculation with PBE was carried out for Tb4CeSm after structural relaxation.

a = 3.379 Å, b = 5.969 Å, c = 11.448 Å
α = 116.98°, β = 90.00°, γ = 106.44°
Site moments in Bohr magnetons follow the coordinates.
Element x y z (fractional)
Sm  0.000  0.000  0.500  0.00
Tb  0.843  0.686  0.155  0.07
Tb  0.658  0.315  0.340  0.04
Tb  0.342  0.685  0.660  0.04
Tb  0.157  0.314  0.845  0.07
Ce  0.500  0.000  0.000  0.78

Summary:
- theoretical density (g/cm3) = 7.88
- N(E_F) (states/eV/f.u.) = 15.00


It comes down to run two, which is 0.048 eV/atom more stable than the next structure.